Entry 1:
Here is PuCl6F2 after structural relaxation from the Alexandria database. Energies are from GGA-PBE.

Computed properties:
ΔE_f (raw) in kJ/mol of atoms: -130.4
SG: C2/m (12)
N(E_F) in states/eV/cell: 9.03
E in eV per atom: -4.59
M_tot in μB per formula unit: 4.00

Cell: 10.1961 10.1961 3.7452 Å, 98.65 98.65 126.10°
Last column: nearest neighbours and their distance in Å.
Fractional coordinates of all 9 atoms:
Pu 0.0000 0.0000 0.0000  4 F 2.28, 2 Cl 2.49
Cl 0.1802 0.5968 0.9741  1 Cl 2.00
Cl 0.2854 0.2854 0.2353  1 Pu 2.49
Cl 0.4032 0.8198 0.0259  1 Cl 2.00
Cl 0.5968 0.1802 0.9741  1 Cl 2.00
Cl 0.7146 0.7146 0.7647  1 Pu 2.49
Cl 0.8198 0.4032 0.0259  1 Cl 2.00
F 0.0716 0.9284 0.5000  2 Pu 2.28
F 0.9284 0.0716 0.5000  2 Pu 2.28

---

Entry 2:
Here is Pu2Cl3F after structural relaxation from the Alexandria database. Energies are from GGA-PBE.

Computed properties:
ΔE_f (raw) in kJ/mol of atoms: -202.7
SG: C2/m (12)
N(E_F) in states/eV/cell: 42.19
Distance to the lowest polymorph of the same formula in meV per atom: 0
E in eV per atom: -8.11
M_tot in μB per formula unit: 12.00

Cell: 7.8938 7.8938 10.6769 Å, 114.03 114.03 30.61°
Last column: nearest neighbours and their distance in Å.
Fractional coordinates of all 12 atoms:
Pu 0.0958 0.0958 0.4437  2 F 2.54-2.55
Pu 0.3537 0.3537 0.1812  2 F 2.51
Pu 0.6463 0.6463 0.8188  2 F 2.51
Pu 0.9042 0.9042 0.5563  2 F 2.54-2.55
Cl 0.1523 0.1523 0.0059  3 Pu 2.84-2.86
Cl 0.2724 0.2724 0.3834  4 Pu 2.91-3.02, 2 F 3.23
Cl 0.4453 0.4453 0.7553  3 Pu 2.84-2.85
Cl 0.5547 0.5547 0.2447  3 Pu 2.84-2.85
Cl 0.7276 0.7276 0.6166  4 Pu 2.91-3.02, 2 F 3.23
Cl 0.8477 0.8477 0.9941  3 Pu 2.84-2.86
F 0.0879 0.0879 0.6773  4 Pu 2.51-2.55
F 0.9121 0.9121 0.3227  4 Pu 2.51-2.55

---

Entry 3:
Here is PuCl2F2 after structural relaxation from the Alexandria database. Energies are from GGA-PBE.

Computed properties:
ΔE_f (raw) in kJ/mol of atoms: -240.8
SG: C2/m (12)
N(E_F) in states/eV/cell: 11.55
Distance to the lowest polymorph of the same formula in meV per atom: 0
E in eV per atom: -6.85
M_tot in μB per formula unit: 4.00

Cell: 7.3005 8.7543 4.1290 Å, 90.00 91.08 90.00°
Last column: nearest neighbours and their distance in Å.
Fractional coordinates of all 10 atoms:
Pu 0.0000 0.0000 0.0000  2 F 2.02
Pu 0.5000 0.5000 0.0000  2 F 2.02
Cl 0.2383 0.0000 0.5078  2 Pu 2.70
Cl 0.2617 0.5000 0.4922  2 Pu 2.70
Cl 0.7383 0.5000 0.5078  2 Pu 2.70
Cl 0.7617 0.0000 0.4922  2 Pu 2.70
F 0.0000 0.2308 0.0000  1 Pu 2.02
F 0.0000 0.7692 0.0000  1 Pu 2.02
F 0.5000 0.2692 0.0000  1 Pu 2.02
F 0.5000 0.7308 0.0000  1 Pu 2.02

---

Entry 4:
Here is PuClF4 after structural relaxation from the Alexandria database. Energies are from GGA-PBE.

Computed properties:
ΔE_f (raw) in kJ/mol of atoms: -263.6
SG: P2_1/c (14)
N(E_F) in states/eV/cell: 13.00
E in eV per atom: -6.68
M_tot in μB per formula unit: 3.00

Cell: 5.3626 10.1530 6.2045 Å, 90.00 124.30 90.00°
Last column: nearest neighbours and their distance in Å.
Fractional coordinates of all 12 atoms:
Pu 0.0000 0.0000 0.0000  4 F 2.00
Pu 0.0000 0.5000 0.5000  4 F 2.00
Cl 0.5000 0.0000 0.0000  2 Pu 2.68
Cl 0.5000 0.5000 0.5000  2 Pu 2.68
F 0.1214 0.1736 0.1848  1 Pu 2.00
F 0.1214 0.3264 0.6848  1 Pu 2.00
F 0.2259 0.5929 0.8449  1 Pu 2.00
F 0.2259 0.9071 0.3449  1 Pu 2.00
F 0.7741 0.0929 0.6551  1 Pu 2.00
F 0.7741 0.4071 0.1551  1 Pu 2.00
F 0.8786 0.6736 0.3152  1 Pu 2.00
F 0.8786 0.8264 0.8152  1 Pu 2.00

---

Copy entry 2 word for word.
Here is Pu2Cl3F after structural relaxation from the Alexandria database. Energies are from GGA-PBE.

Computed properties:
ΔE_f (raw) in kJ/mol of atoms: -202.7
SG: C2/m (12)
N(E_F) in states/eV/cell: 42.19
Distance to the lowest polymorph of the same formula in meV per atom: 0
E in eV per atom: -8.11
M_tot in μB per formula unit: 12.00

Cell: 7.8938 7.8938 10.6769 Å, 114.03 114.03 30.61°
Last column: nearest neighbours and their distance in Å.
Fractional coordinates of all 12 atoms:
Pu 0.0958 0.0958 0.4437  2 F 2.54-2.55
Pu 0.3537 0.3537 0.1812  2 F 2.51
Pu 0.6463 0.6463 0.8188  2 F 2.51
Pu 0.9042 0.9042 0.5563  2 F 2.54-2.55
Cl 0.1523 0.1523 0.0059  3 Pu 2.84-2.86
Cl 0.2724 0.2724 0.3834  4 Pu 2.91-3.02, 2 F 3.23
Cl 0.4453 0.4453 0.7553  3 Pu 2.84-2.85
Cl 0.5547 0.5547 0.2447  3 Pu 2.84-2.85
Cl 0.7276 0.7276 0.6166  4 Pu 2.91-3.02, 2 F 3.23
Cl 0.8477 0.8477 0.9941  3 Pu 2.84-2.86
F 0.0879 0.0879 0.6773  4 Pu 2.51-2.55
F 0.9121 0.9121 0.3227  4 Pu 2.51-2.55

---

Copy entry 2 word for word.
Here is Pu2Cl3F after structural relaxation from the Alexandria database. Energies are from GGA-PBE.

Computed properties:
ΔE_f (raw) in kJ/mol of atoms: -202.7
SG: C2/m (12)
N(E_F) in states/eV/cell: 42.19
Distance to the lowest polymorph of the same formula in meV per atom: 0
E in eV per atom: -8.11
M_tot in μB per formula unit: 12.00

Cell: 7.8938 7.8938 10.6769 Å, 114.03 114.03 30.61°
Last column: nearest neighbours and their distance in Å.
Fractional coordinates of all 12 atoms:
Pu 0.0958 0.0958 0.4437  2 F 2.54-2.55
Pu 0.3537 0.3537 0.1812  2 F 2.51
Pu 0.6463 0.6463 0.8188  2 F 2.51
Pu 0.9042 0.9042 0.5563  2 F 2.54-2.55
Cl 0.1523 0.1523 0.0059  3 Pu 2.84-2.86
Cl 0.2724 0.2724 0.3834  4 Pu 2.91-3.02, 2 F 3.23
Cl 0.4453 0.4453 0.7553  3 Pu 2.84-2.85
Cl 0.5547 0.5547 0.2447  3 Pu 2.84-2.85
Cl 0.7276 0.7276 0.6166  4 Pu 2.91-3.02, 2 F 3.23
Cl 0.8477 0.8477 0.9941  3 Pu 2.84-2.86
F 0.0879 0.0879 0.6773  4 Pu 2.51-2.55
F 0.9121 0.9121 0.3227  4 Pu 2.51-2.55